# PBE CaNiRu, optimized geometry
# - DOS(E_F) (states/eV/atom) = 1.36
# - calculated formation energy (eV/f.u.) = -0.18
data_CaNiRu
_symmetry_space_group_name_H-M 'I m m a'
_symmetry_Int_Tables_number 74
_symmetry_space_group_name_Hall '-I 2b 2'
_cell_length_a 5.021
_cell_length_b 5.269
_cell_length_c 7.662
_cell_angle_alpha 90.00
_cell_angle_beta 90.00
_cell_angle_gamma 90.00
loop_
_atom_site_label
_atom_site_type_symbol
_atom_site_fract_x
_atom_site_fract_y
_atom_site_fract_z
Ca1 Ca 0.000 0.250 0.123
Ni1 Ni 0.000 0.000 0.500
Ru1 Ru 0.250 0.250 0.750

=====

# PBE AcCe2US8, optimized geometry
# - DOS(E_F) (states/eV/atom) = 0.82
# - energy relative to the elements, uncorrected (meV/atom) = -1695.1
data_AcCe2US8
_symmetry_space_group_name_H-M 'P 1 2/m 1'
_symmetry_Int_Tables_number 10
_cell_length_a 4.779
_cell_length_b 9.161
_cell_length_c 6.654
_cell_angle_alpha 90.00
_cell_angle_beta 90.05
_cell_angle_gamma 90.00
loop_
_symmetry_equiv_pos_as_xyz
'x,y,z'
'-x,-y,-z'
'-x,y,-z'
'x,-y,z'
loop_
_atom_site_label
_atom_site_type_symbol
_atom_site_fract_x
_atom_site_fract_y
_atom_site_fract_z
Ac1 Ac 0.000 0.000 0.000
Ce1 Ce 0.500 0.254 0.500
U1 U 0.000 0.500 0.000
S1 S 0.000 0.274 0.256
S2 S 0.500 0.000 0.266
S3 S 0.500 0.500 0.229

=====

# PBE Nd12Sm5Th2, optimized geometry
# - DOS(E_F) (states/eV/atom) = 1.56
# - calculated formation energy (eV/f.u.) = 2.84
data_Nd12Sm5Th2
_symmetry_space_group_name_H-M 'C 1 2/m 1'
_symmetry_Int_Tables_number 12
_cell_length_a 22.670
_cell_length_b 7.150
_cell_length_c 8.828
_cell_angle_alpha 90.00
_cell_angle_beta 110.24
_cell_angle_gamma 90.00
loop_
_symmetry_equiv_pos_as_xyz
'x,y,z'
'-x,-y,-z'
'-x,y,-z'
'x,-y,z'
'x+1/2,y+1/2,z'
'-x+1/2,-y+1/2,-z'
'-x+1/2,y+1/2,-z'
'x+1/2,-y+1/2,z'
loop_
_atom_site_label
_atom_site_type_symbol
_atom_site_fract_x
_atom_site_fract_y
_atom_site_fract_z
Nd1 Nd 0.047 0.000 0.202
Nd2 Nd 0.107 0.245 0.886
Nd3 Nd 0.137 0.500 0.548
Nd4 Nd 0.202 0.247 0.294
Sm1 Sm 0.000 0.500 0.000
Sm2 Sm 0.149 0.000 0.596
Sm3 Sm 0.249 0.500 0.992
Th1 Th 0.000 0.250 0.500

=====

# PBE CaLa4Rh2, optimized geometry
# - DOS(E_F) (states/eV/atom) = 0.97
# - calculated formation energy (eV/f.u.) = -2.35
data_CaLa4Rh2
_symmetry_space_group_name_H-M 'C 1 2/c 1'
_symmetry_Int_Tables_number 15
_cell_length_a 10.797
_cell_length_b 11.616
_cell_length_c 8.464
_cell_angle_alpha 90.00
_cell_angle_beta 116.89
_cell_angle_gamma 90.00
loop_
_symmetry_equiv_pos_as_xyz
'x,y,z'
'-x,-y,-z'
'-x,y,-z+1/2'
'x,-y,z+1/2'
'x+1/2,y+1/2,z'
'-x+1/2,-y+1/2,-z'
'-x+1/2,y+1/2,-z+1/2'
'x+1/2,-y+1/2,z+1/2'
loop_
_atom_site_label
_atom_site_type_symbol
_atom_site_fract_x
_atom_site_fract_y
_atom_site_fract_z
Ca1 Ca 0.000 0.019 0.250
La1 La 0.008 0.260 0.008
La2 La 0.200 0.481 0.358
Rh1 Rh 0.000 0.500 0.000
Rh2 Rh 0.250 0.250 0.500

=====

# PBE UFe4As12, optimized geometry
# - DOS(E_F) (states/eV/atom) = 0.64
# - calculated formation energy (eV/f.u.) = -5.52
data_UFe4As12
_symmetry_space_group_name_H-M 'I m -3'
_symmetry_Int_Tables_number 204
_symmetry_space_group_name_Hall '-I 2 2 3'
_cell_length_a 8.310
_cell_length_b 8.310
_cell_length_c 8.310
_cell_angle_alpha 90.00
_cell_angle_beta 90.00
_cell_angle_gamma 90.00
loop_
_atom_site_label
_atom_site_type_symbol
_atom_site_fract_x
_atom_site_fract_y
_atom_site_fract_z
U1 U 0.000 0.000 0.000
Fe1 Fe 0.250 0.250 0.250
As1 As 0.000 0.340 0.156

=====

What is the DOS(E_F) in the first record? 1.36 states/eV/atom